A plane-wave DFT calculation with PBE-GGA was carried out for a relaxed structure of Zr3Te.

Values from the calculation:
ΔE_f (raw)   -0.41 eV per atom
Total DFT energy (no corrections)   -7.608 eV per atom
N(E_F)   0.980 states/eV/atom
ρ   7.120 g cm⁻³
SG   P2_1/m

Cell lengths 3.891, 6.631, 7.688 Å; angles 109.34, 90.00, 90.00 degrees
Positions (direct):
Zr1 0.750 0.595 0.881
Zr2 0.250 0.704 0.611
Zr3 0.750 0.063 0.873
Zr4 0.250 0.405 0.119
Zr5 0.750 0.296 0.389
Zr6 0.250 0.937 0.127
Te1 0.750 0.746 0.328
Te2 0.250 0.254 0.672